# 1
Compound: ReBiN2
Source: Alexandria via LeMat-Bulk
Functional: PBE
Structure: optimized geometry

The calculation puts the density of states at the Fermi level at 0.694 states/eV per atom. The uncorrected formation energy comes out at 37 kJ/mol of atoms. The calculation puts the total energy at -7.86 eV/atom.

The structure belongs to space group I-42d (No. 122); the cell edges are 6.026, 6.026 and 8.487 Å and the angles 90.00°, 90.00° and 90.00°. The asymmetric unit holds Re at (0.000, 0.000, 0.000), Bi at (0.000, 0.000, 0.500) and N at (0.001, 0.750, 0.125).



# 2
Compound: ReBiN3
Source: Alexandria via LeMat-Bulk
Functional: PBE
Structure: optimized geometry

The calculation puts the density of states at the Fermi level at 0.511 states/eV per atom. The uncorrected formation energy comes out at 265 kJ/mol of atoms. The calculation puts the total energy at -5.51 eV/atom.

The structure belongs to space group Pm-3m (No. 221); the cell edges are 4.207, 4.207 and 4.207 Å and the angles 90.00°, 90.00° and 90.00°. The asymmetric unit holds Re at (0.000, 0.000, 0.000), Bi at (0.500, 0.500, 0.500) and N at (0.000, 0.500, 0.500).



# 3
Compound: Re2BiN
Source: Alexandria via LeMat-Bulk
Functional: PBE
Structure: optimized geometry

The calculation puts the density of states at the Fermi level at 1.116 states/eV per atom. The uncorrected formation energy comes out at 186 kJ/mol of atoms. The calculation puts the total energy at -7.35 eV/atom.

The structure belongs to space group Fm-3m (No. 225); the cell edges are 6.295, 6.295 and 6.295 Å and the angles 90.00°, 90.00° and 90.00°. The asymmetric unit holds Re at (0.250, 0.250, 0.250), Bi at (0.000, 0.000, 0.000) and N at (0.000, 0.000, 0.500).



# 4
Compound: ReBiN2
Source: Alexandria via LeMat-Bulk
Functional: PBE
Structure: optimized geometry

The calculation puts the density of states at the Fermi level at 0.454 states/eV per atom. The uncorrected formation energy comes out at 46 kJ/mol of atoms. The calculation puts the total energy at -7.77 eV/atom.

The structure belongs to space group R-3m (No. 166, hexagonal axes); the cell edges are 3.0913, 3.0913 and 21.4289 Å and the angles 90.00°, 90.00° and 120.00°. The asymmetric unit holds Re at (0.0000, 0.0000, 0.0000), Bi at (0.0000, 0.0000, 0.5000) and N at (0.0000, 0.0000, 0.3852).



# 5
Compound: ReBiN2
Source: Alexandria via LeMat-Bulk
Functional: PBE
Structure: optimized geometry

The calculation puts the density of states at the Fermi level at 0.391 states/eV per atom. The uncorrected formation energy comes out at 94 kJ/mol of atoms. The calculation puts the total energy at -7.27 eV/atom.

The structure belongs to space group R-3m (No. 166, hexagonal axes); the cell edges are 3.3641, 3.3641 and 19.7736 Å and the angles 90.00°, 90.00° and 120.00°. The asymmetric unit holds Re at (0.0000, 0.0000, 0.0000), Bi at (0.0000, 0.0000, 0.5000) and N at (0.0000, 0.0000, 0.0950).



# 6
Compound: ReBiN3
Source: Alexandria via LeMat-Bulk
Functional: PBE
Structure: optimized geometry

The calculation puts the density of states at the Fermi level at 0.325 states/eV per atom. The uncorrected formation energy comes out at 55 kJ/mol of atoms. The calculation puts the total energy at -7.69 eV/atom.

The structure belongs to space group Pm-3m (No. 221); the cell edges are 3.957, 3.957 and 3.957 Å and the angles 90.00°, 90.00° and 90.00°. The asymmetric unit holds Re at (0.000, 0.000, 0.000), Bi at (0.500, 0.500, 0.500) and N at (0.000, 0.000, 0.500).



# 7
Compound: ReBiS2N
Source: Alexandria via LeMat-Bulk
Functional: PBE
Structure: optimized geometry

The calculation puts the density of states at the Fermi level at 1.189 states/eV per atom. The uncorrected formation energy comes out at 193 kJ/mol of atoms. The calculation puts the total energy at -4.59 eV/atom.

The structure belongs to space group P4/mmm (No. 123); the cell edges are 5.230, 5.230 and 4.155 Å and the angles 90.00°, 90.00° and 90.00°. The asymmetric unit holds Re at (0.000, 0.000, 0.000), Bi at (0.500, 0.500, 0.500), S at (0.000, 0.500, 0.500) and N at (0.500, 0.500, 0.000).



# 8
Compound: ReBiS2N
Source: Alexandria via LeMat-Bulk
Functional: PBE
Structure: optimized geometry

The calculation puts the density of states at the Fermi level at 0.697 states/eV per atom. The uncorrected formation energy comes out at 17 kJ/mol of atoms. The calculation puts the total energy at -6.40 eV/atom.

The structure belongs to space group P4/mmm (No. 123); the cell edges are 4.903, 4.903 and 3.770 Å and the angles 90.00°, 90.00° and 90.00°. The asymmetric unit holds Re at (0.000, 0.000, 0.000), Bi at (0.500, 0.500, 0.500), S at (0.000, 0.500, 0.000) and N at (0.000, 0.000, 0.500).



# 9
Compound: ReBiSb2N
Source: Alexandria via LeMat-Bulk
Functional: PBE
Structure: optimized geometry

The calculation puts the density of states at the Fermi level at 0.603 states/eV per atom. The uncorrected formation energy comes out at 156 kJ/mol of atoms. The calculation puts the total energy at -4.97 eV/atom.

The structure belongs to space group P4/mmm (No. 123); the cell edges are 5.060, 5.060 and 5.324 Å and the angles 90.00°, 90.00° and 90.00°. The asymmetric unit holds Re at (0.000, 0.000, 0.000), Bi at (0.000, 0.000, 0.500), Sb at (0.000, 0.500, 0.000) and N at (0.500, 0.500, 0.500).



# 10
Compound: ReBiSe2N
Source: Alexandria via LeMat-Bulk
Functional: PBE
Structure: optimized geometry

The calculation puts the density of states at the Fermi level at 0.769 states/eV per atom. The uncorrected formation energy comes out at 20 kJ/mol of atoms. The calculation puts the total energy at -6.12 eV/atom.

The structure belongs to space group P4/mmm (No. 123); the cell edges are 5.176, 5.176 and 3.769 Å and the angles 90.00°, 90.00° and 90.00°. The asymmetric unit holds Re at (0.000, 0.000, 0.000), Bi at (0.500, 0.500, 0.500), Se at (0.000, 0.500, 0.000) and N at (0.000, 0.000, 0.500).



# 11
Compound: ReBiSe2N
Source: Alexandria via LeMat-Bulk
Functional: PBE
Structure: optimized geometry

The calculation puts the density of states at the Fermi level at 1.045 states/eV per atom. The uncorrected formation energy comes out at 187 kJ/mol of atoms. The calculation puts the total energy at -4.38 eV/atom.

The structure belongs to space group P4/mmm (No. 123); the cell edges are 5.517, 5.517 and 4.258 Å and the angles 90.00°, 90.00° and 90.00°. The asymmetric unit holds Re at (0.000, 0.000, 0.000), Bi at (0.500, 0.500, 0.500), Se at (0.000, 0.500, 0.500) and N at (0.500, 0.500, 0.000).



# 12
Compound: Re2SnBiN
Source: Alexandria via LeMat-Bulk
Functional: PBE
Structure: optimized geometry

The calculation puts the density of states at the Fermi level at 1.193 states/eV per atom. The uncorrected formation energy comes out at 344 kJ/mol of atoms. The calculation puts the total energy at -4.66 eV/atom.

The structure belongs to space group P4/mmm (No. 123); the cell edges are 5.140, 5.140 and 6.045 Å and the angles 90.00°, 90.00° and 90.00°. The asymmetric unit holds Re at (0.000, 0.500, 0.000), Sn at (0.000, 0.000, 0.500), Bi at (0.000, 0.000, 0.000) and N at (0.500, 0.500, 0.500).



# 13
Compound: ReBiTe2N
Source: Alexandria via LeMat-Bulk
Functional: PBE
Structure: optimized geometry

The calculation puts the density of states at the Fermi level at 0.668 states/eV per atom. The uncorrected formation energy comes out at 26 kJ/mol of atoms. The calculation puts the total energy at -5.91 eV/atom.

The structure belongs to space group P4/mmm (No. 123); the cell edges are 5.544, 5.544 and 3.787 Å and the angles 90.00°, 90.00° and 90.00°. The asymmetric unit holds Re at (0.000, 0.000, 0.000), Bi at (0.500, 0.500, 0.500), Te at (0.000, 0.500, 0.000) and N at (0.000, 0.000, 0.500).



# 14
Compound: ReBiTe2N
Source: Alexandria via LeMat-Bulk
Functional: PBE
Structure: optimized geometry

The calculation puts the density of states at the Fermi level at 1.176 states/eV per atom. The uncorrected formation energy comes out at 194 kJ/mol of atoms. The calculation puts the total energy at -4.18 eV/atom.

The structure belongs to space group P4/mmm (No. 123); the cell edges are 5.899, 5.899 and 4.189 Å and the angles 90.00°, 90.00° and 90.00°. The asymmetric unit holds Re at (0.000, 0.000, 0.000), Bi at (0.500, 0.500, 0.500), Te at (0.000, 0.500, 0.500) and N at (0.500, 0.500, 0.000).



# 15
Compound: BiRh3N
Source: Alexandria via LeMat-Bulk
Functional: PBE
Structure: optimized geometry

The calculation puts the density of states at the Fermi level at 1.015 states/eV per atom. The uncorrected formation energy comes out at 231 kJ/mol of atoms. The calculation puts the total energy at -4.46 eV/atom.

The structure belongs to space group Pm-3m (No. 221); the cell edges are 5.064, 5.064 and 5.064 Å and the angles 90.00°, 90.00° and 90.00°. The asymmetric unit holds Bi at (0.000, 0.000, 0.000), Rh at (0.000, 0.000, 0.500) and N at (0.500, 0.500, 0.500).



# 16
Compound: BiRhN
Source: Alexandria via LeMat-Bulk
Functional: PBE
Structure: optimized geometry

The calculation puts the density of states at the Fermi level at 0.373 states/eV per atom. The uncorrected formation energy comes out at 31 kJ/mol of atoms. The calculation puts the total energy at -6.20 eV/atom.

The structure belongs to space group P1 (No. 1); the cell edges are 3.778, 4.007 and 9.329 Å and the angles 89.89°, 89.93° and 61.87°. The asymmetric unit holds Bi at (0.000, 0.000, 0.000), Bi at (0.001, 0.002, 0.353), Rh at (0.686, 0.629, 0.835), Rh at (0.687, 0.630, 0.518), N at (0.251, 0.499, 0.741) and N at (0.251, 0.500, 0.612).



# 17
Compound: BiRh3N
Source: Alexandria via LeMat-Bulk
Functional: PBE
Structure: optimized geometry

The calculation puts the density of states at the Fermi level at 1.404 states/eV per atom. The uncorrected formation energy comes out at 25 kJ/mol of atoms. The calculation puts the total energy at -6.59 eV/atom.

The structure belongs to space group Pm-3m (No. 221); the cell edges are 4.237, 4.237 and 4.237 Å and the angles 90.00°, 90.00° and 90.00°. The asymmetric unit holds Bi at (0.000, 0.000, 0.000), Rh at (0.000, 0.500, 0.500) and N at (0.500, 0.500, 0.500).



# 18
Compound: BiRh2N
Source: Alexandria via LeMat-Bulk
Functional: PBE
Structure: optimized geometry

The calculation puts the density of states at the Fermi level at 0.550 states/eV per atom. The uncorrected formation energy comes out at 99 kJ/mol of atoms. The calculation puts the total energy at -5.70 eV/atom.

The structure belongs to space group Fm-3m (No. 225); the cell edges are 6.279, 6.279 and 6.279 Å and the angles 90.00°, 90.00° and 90.00°. The asymmetric unit holds Bi at (0.000, 0.000, 0.000), Rh at (0.250, 0.250, 0.250) and N at (0.000, 0.000, 0.500).



# 19
Compound: Bi2RhN
Source: Alexandria via LeMat-Bulk
Functional: PBE
Structure: optimized geometry

The calculation puts the density of states at the Fermi level at 0.374 states/eV per atom. The uncorrected formation energy comes out at 35 kJ/mol of atoms. The calculation puts the total energy at -5.50 eV/atom.

The structure belongs to space group C2/m (No. 12); the cell edges are 16.444, 3.510 and 6.451 Å and the angles 90.00°, 94.23° and 90.00°. The asymmetric unit holds Bi at (0.081, 0.000, 0.276), Bi at (0.174, 0.500, 0.826), Rh at (0.218, 0.500, 0.336) and N at (0.109, 0.500, 0.488).



# 20
Compound: Bi2RhN
Source: Alexandria via LeMat-Bulk
Functional: PBE
Structure: optimized geometry

The calculation puts the density of states at the Fermi level at 0.056 states/eV per atom. The uncorrected formation energy comes out at 49 kJ/mol of atoms. The calculation puts the total energy at -5.36 eV/atom.

The structure belongs to space group I-42d (No. 122); the cell edges are 5.921, 5.921 and 10.787 Å and the angles 90.00°, 90.00° and 90.00°. The asymmetric unit holds Bi at (0.211, 0.250, 0.125), Rh at (0.000, 0.000, 0.500) and N at (0.000, 0.000, 0.000).